# Rb2NaZn2H5C4O14 (meta-GGA SCAN, single point on PBEsol structure)
data_Rb2NaZn2H5C4O14
_symmetry_space_group_name_H-M 'P 1 21/c 1'
_symmetry_Int_Tables_number 14
_symmetry_space_group_name_Hall '-P 2ybc'
_cell_length_a 5.1887
_cell_length_b 11.2341
_cell_length_c 11.6757
_cell_angle_alpha 90.00
_cell_angle_beta 114.40
_cell_angle_gamma 90.00
loop_
_atom_site_label
_atom_site_type_symbol
_atom_site_fract_x
_atom_site_fract_y
_atom_site_fract_z
_atom_site_occupancy
Rb1 Rb 0.0400 0.1658 0.0762 1
Na1 Na 0.0000 0.0000 0.5000 1
Zn1 Zn 0.3288 0.6082 0.7944 1
H1 H 0.0511 0.6963 0.1767 1
H2 H 0.3802 0.6680 0.2218 1
H3 H 0.5000 0.0000 0.0000 1
C1 C 0.2880 0.0714 0.8172 1
C2 C 0.4276 0.1247 0.4343 1
O1 O 0.0562 0.0619 0.8317 1
O2 O 0.2056 0.1642 0.4438 1
O3 O 0.2463 0.7141 0.2487 1
O4 O 0.2939 0.1104 0.7145 1
O5 O 0.3347 0.6153 0.9655 1
O6 O 0.4238 0.0923 0.3270 1
O7 O 0.4731 0.5408 0.5906 1
# Energy = -9.335 eV/atom
# Density = 3.225 Mg/m³

***

# TcSb2Rh (meta-GGA SCAN, single point on PBEsol structure)
data_TcSb2Rh
_symmetry_space_group_name_H-M 'C 1 2/m 1'
_symmetry_Int_Tables_number 12
_symmetry_space_group_name_Hall '-C 2y'
_cell_length_a 8.3229
_cell_length_b 3.2019
_cell_length_c 5.4327
_cell_angle_alpha 90.00
_cell_angle_beta 103.09
_cell_angle_gamma 90.00
loop_
_atom_site_label
_atom_site_type_symbol
_atom_site_fract_x
_atom_site_fract_y
_atom_site_fract_z
_atom_site_occupancy
Tc1 Tc 0.0000 0.0000 0.0000 1
Sb1 Sb 0.2485 0.5000 0.2439 1
Rh1 Rh 0.0000 0.5000 0.5000 1
# Formation energy without anion corrections = 0.08 eV per atom
# Energy = -35.762 eV/atom
# Density = 10.467 Mg/m³
# Relative energy among the computed polymorphs = 0.186 eV per formula unit

***

# GaAs2RhCl (meta-GGA SCAN, single point on PBEsol structure)
data_GaAs2RhCl
_symmetry_space_group_name_H-M 'P 4/m m m'
_symmetry_Int_Tables_number 123
_symmetry_space_group_name_Hall '-P 4 2'
_cell_length_a 4.6751
_cell_length_b 4.6751
_cell_length_c 5.1218
_cell_angle_alpha 90.00
_cell_angle_beta 90.00
_cell_angle_gamma 90.00
loop_
_atom_site_label
_atom_site_type_symbol
_atom_site_fract_x
_atom_site_fract_y
_atom_site_fract_z
_atom_site_occupancy
Ga1 Ga 0.0000 0.0000 0.0000 1
As1 As 0.0000 0.5000 0.5000 1
Rh1 Rh 0.5000 0.5000 0.5000 1
Cl1 Cl 0.5000 0.5000 0.0000 1
# Formation energy without anion corrections = 0.22 eV per atom
# Energy = -19.471 eV/atom
# Density = 5.309 Mg/m³

***

# NaAuI2 (meta-GGA SCAN, single point on PBEsol structure)
data_NaAuI2
_symmetry_space_group_name_H-M 'I -4 2 d'
_symmetry_Int_Tables_number 122
_symmetry_space_group_name_Hall 'I -4 2bw'
_cell_length_a 6.7470
_cell_length_b 6.7470
_cell_length_c 13.2101
_cell_angle_alpha 90.00
_cell_angle_beta 90.00
_cell_angle_gamma 90.00
loop_
_atom_site_label
_atom_site_type_symbol
_atom_site_fract_x
_atom_site_fract_y
_atom_site_fract_z
_atom_site_occupancy
Na1 Na 0.0000 0.0000 0.0000 1
Au1 Au 0.0000 0.0000 0.5000 1
I1 I 0.2130 0.2500 0.6250 1
# Formation energy without anion corrections = -0.57 eV per atom
# Energy = -37.286 eV/atom
# Density = 5.233 Mg/m³